PaNbSi2 (GGA-PBE, optimized geometry); formation energy without anion corrections = -0.38 eV/atom; relative energy among the computed polymorphs = 20 meV per atom; space-group type = No. 123
1.0
-0.525 -2.884 -1.818
2.305 1.055 -2.339
4.460 -2.789 3.136
Pa Nb Si
1 1 2
direct
0.500 0.500 0.500 Pa
0.500 0.500 0.000 Nb
0.000 0.000 0.796 Si
0.000 0.000 0.204 Si

=====

Pa3NbSi7 (GGA-PBE, optimized geometry); formation energy without anion corrections = -0.44 eV/atom; space-group type = No. 63
1.0
-1.557 -3.325 -1.395
9.039 -2.623 1.690
-2.795 -3.006 10.283
Pa Si Nb
6 14 2
direct
0.888 0.777 0.949 Pa
0.112 0.223 0.051 Pa
0.112 0.223 0.449 Pa
0.237 0.474 0.750 Pa
0.763 0.526 0.250 Pa
0.888 0.777 0.551 Pa
0.502 0.004 0.106 Si
0.606 0.212 0.250 Si
0.498 0.996 0.606 Si
0.394 0.788 0.750 Si
0.271 0.543 0.460 Si
0.498 0.996 0.894 Si
0.625 0.249 0.646 Si
0.271 0.543 0.040 Si
0.375 0.751 0.354 Si
0.375 0.751 0.146 Si
0.729 0.457 0.960 Si
0.625 0.249 0.854 Si
0.502 0.004 0.394 Si
0.729 0.457 0.540 Si
0.043 0.086 0.750 Nb
0.957 0.914 0.250 Nb

=====

Pa2NbSi (GGA-PBE, optimized geometry); formation energy without anion corrections = -0.24 eV/atom; relative energy among the computed polymorphs = 0 meV per atom; space-group type = No. 123
1.0
-2.962 -1.627 2.953
-1.979 -2.096 -3.141
2.518 -3.375 0.666
Pa Si Nb
2 1 1
direct
0.000 0.500 0.000 Pa
0.000 0.000 0.500 Pa
0.500 0.000 0.000 Si
0.500 0.500 0.500 Nb

=====

PaNbSi2Tc (GGA-PBE, optimized geometry); formation energy without anion corrections = -0.54 eV/atom; space-group type = No. 119
1.0
3.983 0.000 0.000
0.000 3.983 0.000
-1.991 -1.991 5.611
Si Nb Tc Pa
2 1 1 1
direct
0.605 0.605 0.210 Si
0.395 0.395 0.790 Si
0.750 0.250 0.500 Nb
0.250 0.750 0.500 Tc
0.000 0.000 0.000 Pa

=====

ThPaNbSi2 (GGA-PBE, optimized geometry); formation energy without anion corrections = -0.46 eV/atom; space-group type = No. 119
1.0
-2.290 3.243 1.209
-3.358 -2.432 0.163
4.100 -1.762 5.368
Pa Si Nb Th
1 2 1 1
direct
0.750 0.250 0.500 Pa
0.405 0.405 0.811 Si
0.595 0.595 0.189 Si
0.250 0.750 0.500 Nb
0.000 0.000 0.000 Th

=====

PaTiNbSi2 (GGA-PBE, optimized geometry); formation energy without anion corrections = -0.62 eV/atom; space-group type = No. 119
1.0
3.991 0.000 0.000
0.000 3.991 0.000
-1.995 -1.995 5.770
Ti Nb Si Pa
1 1 2 1
direct
0.750 0.250 0.500 Ti
0.250 0.750 0.500 Nb
0.602 0.602 0.204 Si
0.398 0.398 0.796 Si
0.000 0.000 0.000 Pa

=====

Pa2NbSn (GGA-PBE, optimized geometry); ΔH_f (0 K) = 180 meV/atom; relative energy among the computed polymorphs = 306 meV per atom; space-group type = No. 225
1.0
5.164 0.000 0.000
2.582 4.472 0.000
2.582 1.491 4.217
Nb Pa Sn
1 2 1
direct
0.500 0.500 0.500 Nb
0.750 0.750 0.750 Pa
0.250 0.250 0.250 Pa
0.000 0.000 0.000 Sn

=====

PaNbSn (GGA-PBE, optimized geometry); ΔH_f (0 K) = 74 meV/atom; relative energy among the computed polymorphs = 189 meV per atom; space-group type = No. 187
1.0
3.030 0.000 0.000
0.000 5.110 0.000
0.000 -2.555 4.426
Nb Sn Pa
1 1 1
direct
0.834 0.333 0.667 Nb
0.833 0.000 0.000 Sn
0.333 0.667 0.333 Pa

=====

PaNbSn (GGA-PBE, optimized geometry); ΔH_f (0 K) = 59 meV/atom; relative energy among the computed polymorphs = 173 meV per atom; space-group type = No. 107
1.0
3.469 0.000 0.000
0.000 3.469 0.000
-1.734 -1.734 5.774
Sn Pa Nb
1 1 1
direct
0.977 0.977 0.953 Sn
0.680 0.680 0.359 Pa
0.344 0.344 0.687 Nb

=====

PaNbSn2 (GGA-PBE, optimized geometry); ΔH_f (0 K) = -54 meV/atom; relative energy among the computed polymorphs = 13 meV per atom; space-group type = No. 225
1.0
-2.445 3.540 2.646
-2.277 -1.215 4.342
1.895 1.633 4.389
Nb Sn Pa
1 2 1
direct
0.500 0.500 0.500 Nb
0.750 0.750 0.750 Sn
0.250 0.250 0.250 Sn
0.000 0.000 0.000 Pa

=====

PaNbSn2 (GGA-PBE, optimized geometry); ΔH_f (0 K) = 159 meV/atom; relative energy among the computed polymorphs = 226 meV per atom; space-group type = No. 166
1.0
3.153 0.000 0.000
1.577 2.731 0.000
1.577 0.910 11.199
Nb Sn Pa
1 2 1
direct
0.500 0.500 0.500 Nb
0.095 0.095 0.714 Sn
0.905 0.905 0.286 Sn
0.000 0.000 0.000 Pa

=====

Pa2NbSn (GGA-PBE, optimized geometry); ΔH_f (0 K) = 23 meV/atom; relative energy among the computed polymorphs = 149 meV per atom; space-group type = No. 123
1.0
3.932 0.000 0.000
0.000 3.932 0.000
0.000 0.000 6.247
Nb Pa Sn
1 2 1
direct
0.500 0.500 0.000 Nb
0.000 0.000 0.745 Pa
0.000 0.000 0.255 Pa
0.500 0.500 0.500 Sn

=====

What did the eleventh record say?
PaNbSn2 (GGA-PBE, optimized geometry); ΔH_f (0 K) = 159 meV/atom; relative energy among the computed polymorphs = 226 meV per atom; space-group type = No. 166
1.0
3.153 0.000 0.000
1.577 2.731 0.000
1.577 0.910 11.199
Nb Sn Pa
1 2 1
direct
0.500 0.500 0.500 Nb
0.095 0.095 0.714 Sn
0.905 0.905 0.286 Sn
0.000 0.000 0.000 Pa

=====

- What is the formula in the third record?
  Pa2NbSi